First-principles (PBE) data for crystalline NiTeOsRh2 at its relaxed geometry, as listed in the Alexandria database.

extended XYZ file:
```
5
Lattice="4.756 0.000 0.000 0.000 4.522 0.000 0.000 0.000 4.756" Properties=species:S:1:pos:R:3 pbc="T T T"
Rh 0.000 0.000 2.378
Rh 2.378 0.000 0.000
Te 2.378 2.261 2.378
Os 0.000 0.000 0.000
Ni 0.000 2.261 0.000
```

Calculated volume, Å³/atom: 20.455
Total magnetization, μB/f.u.: 0.00
Formation energy without anion corrections, eV per atom: 1.134